# 1
Computed, not measured: a geometry-optimized Cs2NaSn2 structure at the PBE-GGA level of DFT.

a = 11.3872 Å, b = 11.3872 Å, c = 3.7344 Å
α = 90.00°, β = 90.00°, γ = 90.00°
With the nearest neighbours (Å) after each atom.
Sites, in units of the cell vectors:
Cs (0.2034, 0.2966, 0.0000)  2 Cs 3.73, 6 Sn 3.84-4.03
Cs (0.2966, 0.7966, 0.0000)  2 Cs 3.73, 6 Sn 3.84-4.03
Cs (0.7034, 0.2034, 0.0000)  2 Cs 3.73, 6 Sn 3.84-4.03
Cs (0.7966, 0.7034, 0.0000)  2 Cs 3.73, 6 Sn 3.84-4.03
Na (0.0000, 0.0000, 0.5000)  2 Na 3.73
Na (0.5000, 0.5000, 0.5000)  2 Na 3.73
Sn (0.0882, 0.5882, 0.5000)  1 Sn 2.84
Sn (0.4118, 0.0882, 0.5000)  1 Sn 2.84
Sn (0.5882, 0.9118, 0.5000)  1 Sn 2.84
Sn (0.9118, 0.4118, 0.5000)  1 Sn 2.84

Formation energy from the elements in meV per atom: 27
DOS at the Fermi energy in states/eV per atom: 0.626
VASP energy in eV/cell: -21.8


# 2
Computed, not measured: a geometry-optimized SmDyGaPd structure at the PBE-GGA level of DFT.

a = 4.4974 Å, b = 3.7973 Å, c = 11.1466 Å
α = 90.00°, β = 90.00°, γ = 90.00°
With the nearest neighbours (Å) after each atom.
Sites, in units of the cell vectors:
Sm (0.0000, 0.0000, 0.0000)  4 Ga 3.04, 3 Pd 3.10-3.12
Sm (0.0000, 0.5000, 0.5000)  4 Ga 3.04, 3 Pd 3.10-3.12
Dy (0.5000, 0.0000, 0.7151)  4 Pd 3.03, 3 Ga 3.06-3.17
Dy (0.5000, 0.5000, 0.2151)  4 Pd 3.03, 3 Ga 3.06-3.17
Ga (0.5000, 0.0000, 0.4308)  2 Pd 2.81, 4 Sm 3.04, 2 Dy 3.06
Ga (0.5000, 0.5000, 0.9308)  2 Pd 2.81, 4 Sm 3.04, 2 Dy 3.06
Pd (0.0000, 0.0000, 0.2800)  2 Ga 2.81, 4 Dy 3.03, 3 Sm 3.10-3.12
Pd (0.0000, 0.5000, 0.7800)  2 Ga 2.81, 4 Dy 3.03, 3 Sm 3.10-3.12

Formation energy from the elements in meV per atom: -714
DOS at the Fermi energy in states/eV per atom: 1.012
VASP energy in eV/cell: -40.8


Please write out number 1 again, unchanged.
Computed, not measured: a geometry-optimized Cs2NaSn2 structure at the PBE-GGA level of DFT.

a = 11.3872 Å, b = 11.3872 Å, c = 3.7344 Å
α = 90.00°, β = 90.00°, γ = 90.00°
With the nearest neighbours (Å) after each atom.
Sites, in units of the cell vectors:
Cs (0.2034, 0.2966, 0.0000)  2 Cs 3.73, 6 Sn 3.84-4.03
Cs (0.2966, 0.7966, 0.0000)  2 Cs 3.73, 6 Sn 3.84-4.03
Cs (0.7034, 0.2034, 0.0000)  2 Cs 3.73, 6 Sn 3.84-4.03
Cs (0.7966, 0.7034, 0.0000)  2 Cs 3.73, 6 Sn 3.84-4.03
Na (0.0000, 0.0000, 0.5000)  2 Na 3.73
Na (0.5000, 0.5000, 0.5000)  2 Na 3.73
Sn (0.0882, 0.5882, 0.5000)  1 Sn 2.84
Sn (0.4118, 0.0882, 0.5000)  1 Sn 2.84
Sn (0.5882, 0.9118, 0.5000)  1 Sn 2.84
Sn (0.9118, 0.4118, 0.5000)  1 Sn 2.84

Formation energy from the elements in meV per atom: 27
DOS at the Fermi energy in states/eV per atom: 0.626
VASP energy in eV/cell: -21.8


> Look up the DOS at the Fermi energy of the second one.

1.012 states/eV per atom


Copy entry 2 word for word.
Computed, not measured: a geometry-optimized SmDyGaPd structure at the PBE-GGA level of DFT.

a = 4.4974 Å, b = 3.7973 Å, c = 11.1466 Å
α = 90.00°, β = 90.00°, γ = 90.00°
With the nearest neighbours (Å) after each atom.
Sites, in units of the cell vectors:
Sm (0.0000, 0.0000, 0.0000)  4 Ga 3.04, 3 Pd 3.10-3.12
Sm (0.0000, 0.5000, 0.5000)  4 Ga 3.04, 3 Pd 3.10-3.12
Dy (0.5000, 0.0000, 0.7151)  4 Pd 3.03, 3 Ga 3.06-3.17
Dy (0.5000, 0.5000, 0.2151)  4 Pd 3.03, 3 Ga 3.06-3.17
Ga (0.5000, 0.0000, 0.4308)  2 Pd 2.81, 4 Sm 3.04, 2 Dy 3.06
Ga (0.5000, 0.5000, 0.9308)  2 Pd 2.81, 4 Sm 3.04, 2 Dy 3.06
Pd (0.0000, 0.0000, 0.2800)  2 Ga 2.81, 4 Dy 3.03, 3 Sm 3.10-3.12
Pd (0.0000, 0.5000, 0.7800)  2 Ga 2.81, 4 Dy 3.03, 3 Sm 3.10-3.12

Formation energy from the elements in meV per atom: -714
DOS at the Fermi energy in states/eV per atom: 1.012
VASP energy in eV/cell: -40.8


> The lowest DOS at the Fermi energy belongs to which entry?

Cs2NaSn2